Below is a relaxed Th3Ga4Si2 crystal, with properties calculated at the GGA-PBE level.

Cell lengths 4.232, 5.977, 8.456 Å; angles 100.40, 90.00, 110.73 degrees
Fractional positions:
Si  0.396  0.791  0.728
Si  0.604  0.209  0.272
Th  0.000  0.000  0.000
Th  0.332  0.663  0.338
Th  0.668  0.337  0.662
Ga  0.270  0.541  0.935
Ga  0.058  0.117  0.390
Ga  0.730  0.459  0.065
Ga  0.942  0.883  0.610

Properties
Formation energy (no corrections) = -0.59 eV per atom
Space group = C2/m
M_tot = 0.0 μB per cell

=====

Below is a relaxed SmSi2Pt7Au crystal, with properties calculated at the GGA-PBE level.

Cell lengths 4.064, 4.064, 14.908 Å; angles 97.83, 97.83, 90.00 degrees
Fractional positions:
Pt  0.076  0.576  0.152
Pt  0.195  0.195  0.390
Pt  0.805  0.805  0.610
Pt  0.000  0.000  0.000
Pt  0.576  0.076  0.151
Pt  0.924  0.424  0.849
Pt  0.424  0.924  0.848
Sm  0.500  0.500  0.000
Au  0.250  0.750  0.500
Si  0.880  0.880  0.761
Si  0.120  0.120  0.239

Properties
Formation energy (no corrections) = -0.28 eV per atom
Space group = I-4m2
M_tot = 0.0 μB per cell

=====

Below is a relaxed SmMg2Ag9 crystal, with properties calculated at the GGA-PBE level.

Cell lengths 5.590, 5.590, 9.640 Å; angles 73.14, 73.14, 60.00 degrees
Fractional positions:
Ag  0.500  0.500  0.500
Ag  0.412  0.919  0.258
Ag  0.919  0.412  0.258
Ag  0.588  0.588  0.742
Ag  0.334  0.334  0.999
Ag  0.412  0.412  0.258
Ag  0.081  0.588  0.742
Ag  0.666  0.666  0.001
Ag  0.588  0.081  0.742
Mg  0.855  0.855  0.435
Mg  0.145  0.145  0.565
Sm  0.000  0.000  0.000

Properties
Space group = R-3m
M_tot = 0.0 μB per cell
Energy of formation from the pure elements = -91 meV/atom

=====

Below is a relaxed La2YZrO crystal, with properties calculated at the GGA-PBE level.

Cell lengths 5.179, 5.179, 4.683 Å; angles 90.00, 90.00, 90.00 degrees
Fractional positions:
O  0.000  0.000  0.000
Y  0.000  0.000  0.500
La  0.000  0.500  0.000
La  0.500  0.000  0.000
Zr  0.500  0.500  0.500

Properties
Formation energy (no corrections) = -1.09 eV per atom
Space group = P4/mmm
Relative energy among the computed polymorphs = 0.000 eV/atom
M_tot = 0.0 μB per cell

=====

Below is a relaxed NiAu3 crystal, with properties calculated at the GGA-PBE level.

Cell lengths 4.857, 4.857, 2.954 Å; angles 90.00, 90.00, 108.93 degrees
Fractional positions:
Au  0.000  0.000  0.000
Au  0.000  0.500  0.500
Au  0.500  0.000  0.500
Ni  0.500  0.500  0.000

Properties
Space group = Cmmm
M_tot = 0.0 μB per cell
Energy of formation from the pure elements = 115 meV/atom

=====

Below is a relaxed LiSm2PaTe5 crystal, with properties calculated at the GGA-PBE level.

Cell lengths 4.328, 9.570, 13.383 Å; angles 90.00, 90.00, 103.07 degrees
Last column: magnetic moment on the atom in μB.
Fractional positions:
Te  0.952  0.904  0.571  -0.02
Te  0.496  0.992  0.780  -0.01
Te  0.366  0.732  0.001  -0.01
Te  0.284  0.568  0.673  -0.02
Te  0.634  0.268  0.501  -0.01
Te  0.048  0.096  0.071  -0.02
Te  0.686  0.373  0.844  -0.02
Te  0.716  0.432  0.173  -0.02
Te  0.504  0.008  0.280  -0.01
Te  0.314  0.627  0.344  -0.02
Pa  0.799  0.599  0.510  1.13
Pa  0.201  0.401  0.010  1.13
Sm  0.893  0.786  0.187  0.02
Sm  0.871  0.741  0.801  0.03
Sm  0.129  0.259  0.301  0.03
Sm  0.107  0.214  0.687  0.02
Li  0.556  0.112  0.957  0.00
Li  0.444  0.888  0.457  0.00

Properties
Formation energy (no corrections) = -1.09 eV per atom
Space group = Cmc2_1
M_tot = 2.7 μB per cell

=====

Below is a relaxed TaTeRu2 crystal, with properties calculated at the GGA-PBE level.

Cell lengths 4.564, 4.564, 4.564 Å; angles 60.00, 60.00, 60.00 degrees
Fractional positions:
Ru  0.250  0.250  0.250
Ru  0.000  0.000  0.000
Ta  0.500  0.500  0.500
Te  0.750  0.750  0.750

Properties
Formation energy (no corrections) = 0.38 eV per atom
Space group = F-43m
M_tot = 0.0 μB per cell

=====

Below is a relaxed CaSbF5 crystal, with properties calculated at the GGA-PBE level.

Cell lengths 5.826, 5.834, 8.695 Å; angles 97.81, 110.64, 105.72 degrees
Fractional positions:
F  0.396  0.227  0.658
F  0.819  0.193  0.594
F  0.935  0.267  0.158
F  0.336  0.394  0.969
F  0.178  0.808  0.884
F  0.075  0.634  0.469
F  0.552  0.819  0.694
F  0.377  0.142  0.194
F  0.902  0.780  0.096
F  0.575  0.705  0.383
Ca  0.712  0.502  0.215
Ca  0.214  0.504  0.715
Sb  0.435  0.955  0.489
Sb  0.035  0.055  0.989

Properties
Formation energy (no corrections) = -3.02 eV per atom
Space group = P1
Relative energy among the computed polymorphs = 0.019 eV/atom
M_tot = 0.0 μB per cell

=====

Number 1: density 8.72 g cm⁻³, calculated volume 21.81 Å³/atom. Number 2: density 12.16 g cm⁻³, calculated volume 21.97 Å³/atom. Number 3: density 7.90 g cm⁻³, calculated volume 20.49 Å³/atom. Number 4: density 6.27 g cm⁻³, calculated volume 25.12 Å³/atom. Number 5: density 16.37 g cm⁻³, calculated volume 16.47 Å³/atom. Number 6: density 7.24 g cm⁻³, calculated volume 30.00 Å³/atom. Number 7: density 12.61 g cm⁻³, calculated volume 16.81 Å³/atom. Number 8: density 3.32 g cm⁻³, calculated volume 18.38 Å³/atom.